Entry 1:
Computed, not measured: a geometry-optimized NaEr2Ga structure at the GGA-PBE level of DFT.

Results
Magnetization ... 0.00 μB/atom
Polymorph energy (0 for the lowest one) ... 0.00 kcal/mol of atoms
DOS(E_F) ... 0.624 states/eV/atom

CIF file:
```
data_NaEr2Ga
_chemical_formula_sum 'Na1 Er2 Ga1'
_symmetry_space_group_name_H-M 'P 4/m m m'
_symmetry_Int_Tables_number 123
_symmetry_space_group_name_Hall '-P 4 2'
_cell_length_a 3.481
_cell_length_b 3.481
_cell_length_c 9.140
_cell_angle_alpha 90.00
_cell_angle_beta 90.00
_cell_angle_gamma 90.00
loop_
_atom_site_label
_atom_site_type_symbol
_atom_site_fract_x
_atom_site_fract_y
_atom_site_fract_z
_atom_site_occupancy
Na1 Na 0.000 0.000 0.000 1
Er1 Er 0.500 0.500 0.306 1
Ga1 Ga 0.000 0.000 0.500 1
```

---

Entry 2:
Computed, not measured: a geometry-optimized Be2GaPb structure at the GGA-PBE level of DFT.

Results
Magnetization ... 0.00 μB/atom
Polymorph energy (0 for the lowest one) ... 0.07 kcal/mol of atoms
DOS(E_F) ... 0.473 states/eV/atom

CIF file:
```
data_Be2GaPb
_chemical_formula_sum 'Be8 Ga4 Pb4'
_symmetry_space_group_name_H-M 'I -4 2 d'
_symmetry_Int_Tables_number 122
_symmetry_space_group_name_Hall 'I -4 2bw'
_cell_length_a 6.875
_cell_length_b 6.875
_cell_length_c 6.190
_cell_angle_alpha 90.00
_cell_angle_beta 90.00
_cell_angle_gamma 90.00
loop_
_atom_site_label
_atom_site_type_symbol
_atom_site_fract_x
_atom_site_fract_y
_atom_site_fract_z
_atom_site_occupancy
Be1 Be 0.208 0.250 0.125 1
Ga1 Ga 0.000 0.000 0.000 1
Pb1 Pb 0.000 0.000 0.500 1
```

---

Question: What is the DOS(E_F) in the second record?
Answer: 0.473 states/eV/atom

---

Question: Which of these has the lowest DOS(E_F)?
Answer: Be2GaPb

---

What did the second record say?
Computed, not measured: a geometry-optimized Be2GaPb structure at the GGA-PBE level of DFT.

Results
Magnetization ... 0.00 μB/atom
Polymorph energy (0 for the lowest one) ... 0.07 kcal/mol of atoms
DOS(E_F) ... 0.473 states/eV/atom

CIF file:
```
data_Be2GaPb
_chemical_formula_sum 'Be8 Ga4 Pb4'
_symmetry_space_group_name_H-M 'I -4 2 d'
_symmetry_Int_Tables_number 122
_symmetry_space_group_name_Hall 'I -4 2bw'
_cell_length_a 6.875
_cell_length_b 6.875
_cell_length_c 6.190
_cell_angle_alpha 90.00
_cell_angle_beta 90.00
_cell_angle_gamma 90.00
loop_
_atom_site_label
_atom_site_type_symbol
_atom_site_fract_x
_atom_site_fract_y
_atom_site_fract_z
_atom_site_occupancy
Be1 Be 0.208 0.250 0.125 1
Ga1 Ga 0.000 0.000 0.000 1
Pb1 Pb 0.000 0.000 0.500 1
```